A plane-wave DFT calculation with PBE was carried out for NdHo7Tm2 after structural relaxation.

a b c (Å): 9.075 9.075 5.605
angles (deg): 90.00 90.00 122.55
Fractional coordinates of all 10 atoms:
Nd 0.000 0.000 0.000
Ho 0.061 0.293 0.500
Ho 0.218 0.782 0.000
Ho 0.293 0.061 0.500
Ho 0.500 0.500 0.500
Ho 0.707 0.939 0.500
Ho 0.782 0.218 0.000
Ho 0.939 0.707 0.500
Tm 0.297 0.703 0.500
Tm 0.703 0.297 0.500

Summary:
- Excess energy over the best structure of this formula in the dataset: 684 meV/atom
- Energy relative to the elements: 0.704 eV per atom
- Symmetry: Cmmm
- D(E_F): 14.3 states/eV/cell
- Spin magnetization: 0.00 μB per atom

---

A plane-wave DFT calculation with PBE was carried out for Nd4Ho8Tm3 after structural relaxation.

a b c (Å): 12.452 12.452 12.452
angles (deg): 32.29 32.29 32.29
Fractional coordinates of all 15 atoms:
Nd 0.000 0.000 0.000
Nd 0.164 0.164 0.164
Nd 0.500 0.500 0.500
Nd 0.836 0.836 0.836
Ho 0.249 0.249 0.746
Ho 0.249 0.746 0.249
Ho 0.254 0.751 0.751
Ho 0.256 0.256 0.256
Ho 0.744 0.744 0.744
Ho 0.746 0.249 0.249
Ho 0.751 0.254 0.751
Ho 0.751 0.751 0.254
Tm 0.000 0.500 0.500
Tm 0.500 0.000 0.500
Tm 0.500 0.500 0.000

Summary:
- Excess energy over the best structure of this formula in the dataset: 0 meV/atom
- Energy relative to the elements: 0.119 eV per atom
- Symmetry: R-3m
- D(E_F): 22.1 states/eV/cell
- Spin magnetization: 0.00 μB per atom

---

A plane-wave DFT calculation with PBE was carried out for Nd3HoTm4 after structural relaxation.

a b c (Å): 11.371 7.285 6.264
angles (deg): 90.00 90.00 90.00
Fractional coordinates of all 16 atoms:
Nd 0.000 0.128 0.000
Nd 0.250 0.127 0.336
Nd 0.250 0.873 0.836
Nd 0.500 0.872 0.500
Nd 0.750 0.127 0.336
Nd 0.750 0.873 0.836
Ho 0.000 0.869 0.499
Ho 0.500 0.131 0.999
Tm 0.000 0.379 0.501
Tm 0.000 0.620 0.002
Tm 0.248 0.621 0.335
Tm 0.252 0.379 0.835
Tm 0.500 0.380 0.502
Tm 0.500 0.621 0.001
Tm 0.748 0.379 0.835
Tm 0.752 0.621 0.335

Summary:
- Excess energy over the best structure of this formula in the dataset: 0 meV/atom
- Energy relative to the elements: 0.021 eV per atom
- Symmetry: Pmn2_1
- D(E_F): 28.6 states/eV/cell
- Spin magnetization: 0.00 μB per atom

---

A plane-wave DFT calculation with PBE was carried out for Nd4HoTm4 after structural relaxation.

a b c (Å): 8.010 8.010 8.010
angles (deg): 95.70 95.70 143.25
Fractional coordinates of all 9 atoms:
Nd 0.000 0.330 0.330
Nd 0.000 0.670 0.670
Nd 0.330 0.000 0.330
Nd 0.670 0.000 0.670
Ho 0.000 0.000 0.000
Tm 0.334 0.334 0.669
Tm 0.334 0.666 0.000
Tm 0.666 0.334 0.000
Tm 0.666 0.666 0.331

Summary:
- Energy relative to the elements: 0.026 eV per atom
- Symmetry: I4/mmm
- D(E_F): 13.8 states/eV/cell
- Spin magnetization: 0.00 μB per atom